VASP calculation (PBE) on AlAgBi3 after structural relaxation.

Values from the calculation:
Total magnetic moment (μB per cell): 0.00
Formation enthalpy at 0 K (kJ/mol of formula units): 340
Crystal system: cubic

Lattice parameters (Å, degrees): 5.561 5.561 5.561 90.00 90.00 90.00
Sites, in units of the cell vectors:
Al1 0.000 0.000 0.000
Ag1 0.500 0.500 0.500
Bi1 0.000 0.500 0.500
Bi2 0.500 0.000 0.500
Bi3 0.500 0.500 0.000